VASP calculation (GGA-PBE) on La2Cu2Rh after structural relaxation.

## Properties
- Crystal system: tetragonal
- Calculated volume: 23.7 A^3/atom
- Formation energy from the elements: -54 meV per atom
- Symmetry: P4/mbm (127)
- Offset from the most stable computed form: 0.342 eV per atom
- Uncorrected energy: -5.1335 eV/atom

a = 7.870 Å, b = 7.870 Å, c = 3.830 Å
α = 90.00°, β = 90.00°, γ = 90.00°
Element x y z (fractional)
Cu: 0.109 0.609 0.500
Cu: 0.609 0.891 0.500
Cu: 0.391 0.109 0.500
Cu: 0.891 0.391 0.500
La: 0.187 0.313 0.000
La: 0.313 0.813 0.000
La: 0.813 0.687 0.000
La: 0.687 0.187 0.000
Rh: 0.000 0.000 0.000
Rh: 0.500 0.500 0.000

***

VASP calculation (GGA-PBE) on La4CuRh after structural relaxation.

## Properties
- Crystal system: monoclinic
- Calculated volume: 29.7 A^3/atom
- Formation energy from the elements: -325 meV per atom
- Symmetry: P2_1/m (11)
- Offset from the most stable computed form: 0.000 eV per atom
- Uncorrected energy: -5.5177 eV/atom

a = 6.486 Å, b = 7.219 Å, c = 8.018 Å
α = 90.00°, β = 108.51°, γ = 90.00°
Element x y z (fractional)
La: 0.564 0.250 0.398
La: 0.008 0.502 0.745
La: 0.992 0.002 0.255
La: 0.436 0.750 0.602
La: 0.008 0.998 0.745
La: 0.562 0.250 0.882
La: 0.438 0.750 0.118
La: 0.992 0.498 0.255
Rh: 0.774 0.750 0.444
Rh: 0.226 0.250 0.556
Cu: 0.789 0.750 0.946
Cu: 0.211 0.250 0.054

***

VASP calculation (GGA-PBE) on La2CuRh after structural relaxation.

## Properties
- Crystal system: cubic
- Calculated volume: 21.0 A^3/atom
- Formation energy from the elements: -277 meV per atom
- Symmetry: F-43m (216)
- Uncorrected energy: -5.6030 eV/atom

a = 4.912 Å, b = 4.912 Å, c = 4.912 Å
α = 60.00°, β = 60.00°, γ = 60.00°
Element x y z (fractional)
La: 0.000 0.000 0.000
La: 0.250 0.250 0.250
Cu: 0.500 0.500 0.500
Rh: 0.750 0.750 0.750

***

VASP calculation (GGA-PBE) on LaCuRh2 after structural relaxation.

## Properties
- Crystal system: monoclinic
- Calculated volume: 17.7 A^3/atom
- Formation energy from the elements: -139 meV per atom
- Symmetry: C2/m (12)
- Uncorrected energy: -6.0707 eV/atom

a = 5.118 Å, b = 5.360 Å, c = 3.068 Å
α = 75.04°, β = 86.63°, γ = 117.42°
Element x y z (fractional)
Cu: 0.000 0.500 0.500
Rh: 0.500 0.000 0.500
Rh: 0.000 0.000 0.000
La: 0.500 0.500 0.000

***

VASP calculation (GGA-PBE) on LaCu2Rh after structural relaxation.

## Properties
- Crystal system: cubic
- Calculated volume: 18.3 A^3/atom
- Formation energy from the elements: -71 meV per atom
- Symmetry: F-43m (216)
- Uncorrected energy: -5.1885 eV/atom

a = 4.699 Å, b = 4.699 Å, c = 4.699 Å
α = 60.00°, β = 60.00°, γ = 60.00°
Element x y z (fractional)
Cu: 0.000 0.000 0.000
Cu: 0.250 0.250 0.250
Rh: 0.750 0.750 0.750
La: 0.500 0.500 0.500

***

VASP calculation (GGA-PBE) on LaCu3Rh after structural relaxation.

## Properties
- Crystal system: cubic
- Calculated volume: 24.9 A^3/atom
- Formation energy from the elements: 1636 meV per atom
- Symmetry: Pm-3m (221)
- Offset from the most stable computed form: 1.462 eV per atom
- Uncorrected energy: -3.2773 eV/atom

a = 4.994 Å, b = 4.994 Å, c = 4.994 Å
α = 90.00°, β = 90.00°, γ = 90.00°
Each line ends with the local moment (μB).
Element x y z (fractional)
Rh: 0.500 0.500 0.500  1.09
La: 0.000 0.000 0.000  0.03
Cu: 0.000 0.000 0.500  0.07
Cu: 0.000 0.500 0.000  0.02
Cu: 0.500 0.000 0.000  0.00

***

VASP calculation (GGA-PBE) on La2CuRh after structural relaxation.

## Properties
- Crystal system: tetragonal
- Calculated volume: 22.4 A^3/atom
- Formation energy from the elements: -251 meV per atom
- Symmetry: I-4m2 (119)
- Uncorrected energy: -5.5764 eV/atom

a = 5.706 Å, b = 5.706 Å, c = 5.706 Å
α = 135.59°, β = 135.59°, γ = 64.62°
Element x y z (fractional)
La: 0.250 0.750 0.500
La: 0.000 0.000 0.000
Cu: 0.750 0.250 0.500
Rh: 0.500 0.500 0.000

***

VASP calculation (GGA-PBE) on LaCu2Rh after structural relaxation.

## Properties
- Crystal system: monoclinic
- Calculated volume: 20.8 A^3/atom
- Formation energy from the elements: -166 meV per atom
- Symmetry: Pm (6)
- Uncorrected energy: -5.2837 eV/atom

a = 4.125 Å, b = 3.956 Å, c = 5.108 Å
α = 89.90°, β = 90.00°, γ = 90.00°
Element x y z (fractional)
Cu: 0.000 0.000 0.007
Cu: 0.500 0.001 0.235
Rh: 0.500 0.999 0.720
La: 0.000 0.500 0.538

***

VASP calculation (GGA-PBE) on LaCuRh2 after structural relaxation.

## Properties
- Crystal system: orthorhombic
- Calculated volume: 17.9 A^3/atom
- Formation energy from the elements: -118 meV per atom
- Symmetry: Pmm2 (25)
- Uncorrected energy: -6.0499 eV/atom

a = 3.133 Å, b = 3.939 Å, c = 5.802 Å
α = 90.00°, β = 90.00°, γ = 90.00°
Element x y z (fractional)
Cu: 0.000 0.000 0.448
La: 0.500 0.500 0.763
Rh: 0.500 0.500 0.271
Rh: 0.000 0.000 0.017

***

VASP calculation (GGA-PBE) on LaCu2Rh after structural relaxation.

## Properties
- Crystal system: monoclinic
- Calculated volume: 18.4 A^3/atom
- Formation energy from the elements: -126 meV per atom
- Symmetry: P2/m (10)
- Uncorrected energy: -5.2437 eV/atom

a = 4.448 Å, b = 3.245 Å, c = 5.358 Å
α = 72.02°, β = 90.00°, γ = 90.00°
Element x y z (fractional)
Rh: 0.500 0.750 0.750
Cu: 0.000 0.927 0.949
Cu: 0.000 0.573 0.551
La: 0.500 0.250 0.250

***

VASP calculation (GGA-PBE) on LaCuRh2 after structural relaxation.

## Properties
- Crystal system: tetragonal
- Calculated volume: 17.6 A^3/atom
- Formation energy from the elements: -249 meV per atom
- Symmetry: I-4m2 (119)
- Uncorrected energy: -6.1809 eV/atom

a = 5.101 Å, b = 5.101 Å, c = 5.101 Å
α = 132.61°, β = 132.67°, γ = 69.22°
Element x y z (fractional)
Rh: 0.750 0.250 0.500
Rh: 0.000 0.000 0.000
La: 0.250 0.750 0.500
Cu: 0.500 0.500 0.000

***

VASP calculation (GGA-PBE) on La2CuRh after structural relaxation.

## Properties
- Crystal system: tetragonal
- Calculated volume: 25.9 A^3/atom
- Formation energy from the elements: -167 meV per atom
- Symmetry: I-42d (122)
- Uncorrected energy: -5.4924 eV/atom

a = 7.712 Å, b = 7.712 Å, c = 6.470 Å
α = 53.42°, β = 53.42°, γ = 90.00°
Element x y z (fractional)
La: 0.106 0.625 0.250
La: 0.375 0.356 0.750
La: 0.644 0.125 0.250
La: 0.875 0.894 0.750
Rh: 0.000 0.000 0.000
Rh: 0.750 0.250 0.500
Cu: 0.500 0.500 0.000
Cu: 0.250 0.750 0.500